Material: InCu2Br6
Method: DFT, PBE
State: relaxed

```
InCu2Br6
1.0
7.494 -6.279 0.000
7.494 6.279 0.000
-2.543 0.000 6.423
In Cu Br
2 4 12
Direct
0.083 0.917 0.750 In
0.917 0.083 0.250 In
0.338 0.526 0.841 Cu
0.474 0.662 0.659 Cu
0.526 0.338 0.341 Cu
0.662 0.474 0.159 Cu
0.042 0.183 0.658 Br
0.107 0.656 0.834 Br
0.183 0.042 0.158 Br
0.319 0.461 0.459 Br
0.344 0.893 0.666 Br
0.461 0.319 0.959 Br
0.539 0.681 0.041 Br
0.656 0.107 0.334 Br
0.681 0.539 0.541 Br
0.817 0.958 0.842 Br
0.893 0.344 0.166 Br
0.958 0.817 0.342 Br
```

Energy relative to the lowest polymorph listed for this composition = 0.0000 eV/atom
V = 604.6 Å³ per cell
Raw formation energy = -0.50 eV per atom
Space group = No. 15



Material: Tb3TmNi
Method: DFT, PBE
State: relaxed

```
Tb3TmNi
1.0
5.315 0.000 0.000
0.000 5.315 0.000
0.000 0.000 5.315
Tb Tm Ni
3 1 1
Direct
0.000 0.000 0.500 Tb
0.000 0.500 0.000 Tb
0.500 0.000 0.000 Tb
0.500 0.500 0.500 Tm
0.000 0.000 0.000 Ni
```

Energy relative to the lowest polymorph listed for this composition = 0.1776 eV/atom
V = 150.1 Å³ per cell
Space group = No. 221
Energy of formation = 3 meV per atom



Material: ThPaNi2As2
Method: DFT, PBE
State: relaxed

```
ThPaNi2As2
1.0
4.050 0.000 0.000
-2.025 3.507 0.000
0.000 0.000 8.043
Th Pa Ni As
1 1 2 2
Direct
0.000 0.000 0.000 Th
0.000 0.000 0.500 Pa
0.333 0.667 0.716 Ni
0.667 0.333 0.284 Ni
0.333 0.667 0.250 As
0.667 0.333 0.750 As
```

V = 114.2 Å³ per cell
Space group = No. 164
Energy of formation = -965 meV per atom



Material: P2N
Method: DFT, PBE
State: relaxed

```
P2N
1.0
4.011 -1.733 0.000
4.011 1.733 0.000
-3.492 0.000 3.996
P N
2 1
Direct
0.243 0.243 0.349 P
0.757 0.757 0.651 P
0.081 0.919 0.000 N
```

Energy relative to the lowest polymorph listed for this composition = 0.1704 eV/atom
V = 55.5 Å³ per cell
Raw formation energy = 0.24 eV per atom
Space group = No. 5



Material: TbHoCuRh
Method: DFT, PBE
State: relaxed

```
TbHoCuRh
1.0
0.000 3.451 3.451
3.451 0.000 3.451
3.451 3.451 0.000
Tb Ho Cu Rh
1 1 1 1
Direct
0.000 0.000 0.000 Tb
0.500 0.500 0.500 Ho
0.250 0.250 0.250 Cu
0.750 0.750 0.750 Rh
```

Energy relative to the lowest polymorph listed for this composition = 0.0220 eV/atom
V = 82.2 Å³ per cell
Space group = No. 216
Energy of formation = -564 meV per atom



Material: HoThAu4
Method: DFT, PBE
State: relaxed

```
HoThAu4
1.0
3.815 0.000 0.000
0.000 3.815 0.000
0.000 0.000 9.215
Ho Th Au
1 1 4
Direct
0.000 0.000 0.000 Ho
0.500 0.500 0.500 Th
0.000 0.000 0.326 Au
0.000 0.000 0.674 Au
0.500 0.500 0.159 Au
0.500 0.500 0.841 Au
```

Energy relative to the lowest polymorph listed for this composition = 0.0000 eV/atom
V = 134.1 Å³ per cell
Space group = No. 123
Energy of formation = -757 meV per atom



The records above give, respectively, VASP energy values of -2.8335, -4.8255, -7.2612, -6.1421, -5.7282, -4.9417 eV per atom.